1.
Below is a relaxed structure of BeCuTc, with properties calculated at the PBE level.

a = 2.6119 Å, b = 2.6119 Å, c = 6.1440 Å
α = 90.00°, β = 90.00°, γ = 120.00°
Element x y z (fractional)
Cu1 0.3333 0.6667 0.3107
Be1 0.0000 0.0000 0.0076
Tc1 0.6667 0.3333 0.6817

Computed properties:
Energy relative to the elements ... 0.138 eV per atom
SG ... P3m1, No. 156
Excess energy over the best structure of this formula in the dataset ... 0.096 eV per atom
Final energy ... -5.925 eV/atom

2.
Below is a relaxed structure of BaDyCdIn, with properties calculated at the PBE level.

a = 5.6753 Å, b = 5.6753 Å, c = 5.6753 Å
α = 60.00°, β = 60.00°, γ = 60.00°
Element x y z (fractional)
Cd1 0.7500 0.7500 0.7500
In1 0.2500 0.2500 0.2500
Dy1 0.5000 0.5000 0.5000
Ba1 0.0000 0.0000 0.0000

Computed properties:
Energy relative to the elements ... -0.252 eV per atom
SG ... F-43m, No. 216
Final energy ... -2.797 eV/atom

3.
Below is a relaxed structure of Sm6GaRh2, with properties calculated at the PBE level.

a = 8.5889 Å, b = 8.5889 Å, c = 8.5889 Å
α = 104.89°, β = 110.60°, γ = 113.04°
Element x y z (fractional)
Rh1 0.3305 0.0000 0.3305
Rh2 0.5000 0.6328 0.1328
Rh3 0.6695 0.0000 0.6695
Rh4 0.5000 0.3672 0.8672
Sm1 0.6933 0.0243 0.3310
Sm2 0.5377 0.7153 0.8224
Sm3 0.8929 0.7153 0.1776
Sm4 0.3067 0.9757 0.6690
Sm5 0.6933 0.3622 0.6690
Sm6 0.1941 0.2382 0.4323
Sm7 0.1941 0.7618 0.9559
Sm8 0.4623 0.2847 0.1776
Sm9 0.1071 0.2847 0.8224
Sm10 0.8059 0.7618 0.5677
Sm11 0.3067 0.6378 0.3310
Sm12 0.8059 0.2382 0.0441
Ga1 0.0000 0.5000 0.5000
Ga2 0.0000 0.0000 0.0000

Computed properties:
Energy relative to the elements ... -0.518 eV per atom
SG ... Immm, No. 71
Final energy ... -5.634 eV/atom

4.
Below is a relaxed structure of Tl2NiGe, with properties calculated at the PBE level.

a = 4.5385 Å, b = 4.5385 Å, c = 9.6336 Å
α = 76.38°, β = 76.38°, γ = 90.00°
Element x y z (fractional)
Tl1 0.1536 0.6250 0.2500
Tl2 0.5964 0.1250 0.2500
Tl3 0.8750 0.8464 0.7500
Tl4 0.3750 0.4036 0.7500
Ni1 0.2500 0.7500 0.5000
Ni2 0.5000 0.5000 0.0000
Ge1 0.0000 0.0000 0.0000
Ge2 0.7500 0.2500 0.5000

Computed properties:
Energy relative to the elements ... 0.509 eV per atom
SG ... I-42d, No. 122
Final energy ... -3.274 eV/atom

5.
Below is a relaxed structure of Dy4Al12Pd, with properties calculated at the PBE level.

a = 7.4962 Å, b = 7.4962 Å, c = 7.4962 Å
α = 109.47°, β = 109.47°, γ = 109.47°
Element x y z (fractional)
Al1 0.2927 0.0000 0.2927
Al2 0.5000 0.7500 0.2500
Al3 0.0000 0.2927 0.2927
Al4 0.5000 0.2500 0.7500
Al5 0.7500 0.5000 0.2500
Al6 0.2500 0.5000 0.7500
Al7 0.7500 0.2500 0.5000
Al8 0.2927 0.2927 0.0000
Al9 0.2500 0.7500 0.5000
Al10 0.7073 0.0000 0.7073
Al11 0.7073 0.7073 0.0000
Al12 0.0000 0.7073 0.7073
Pd1 0.0000 0.0000 0.0000
Dy1 0.5000 0.5000 0.5000
Dy2 0.5000 0.0000 0.0000
Dy3 0.0000 0.5000 0.0000
Dy4 0.0000 0.0000 0.5000

Computed properties:
Energy relative to the elements ... -0.537 eV per atom
SG ... Im-3m, No. 229
Final energy ... -4.567 eV/atom